The following is a DFT calculation (GGA-PBE) of a relaxed AcHo5Tl4 crystal.

Calculated formation energy in eV/atom: -0.25
VASP energy in eV/atom: -3.897

Lattice parameters (Å, degrees): 3.6221 3.6221 22.0995 90.00 90.00 90.00
Atoms (fractional coordinates):
Ac1 0.0000 0.0000 0.0000
Ho1 0.5000 0.5000 0.1237
Ho2 0.5000 0.5000 0.3112
Ho3 0.5000 0.5000 0.5000
Ho4 0.5000 0.5000 0.6888
Ho5 0.5000 0.5000 0.8763
Tl1 0.0000 0.0000 0.2163
Tl2 0.0000 0.0000 0.4056
Tl3 0.0000 0.0000 0.5944
Tl4 0.0000 0.0000 0.7837

The following is a DFT calculation (GGA-PBE) of a relaxed P2RuSO crystal.

VASP energy in eV/atom: -5.290
Formation energy from raw total energies in kJ/mol of atoms: 52.75

Lattice parameters (Å, degrees): 4.5232 4.5232 3.2308 90.00 90.00 90.00
Atoms (fractional coordinates):
P1 0.0000 0.5000 0.0000
P2 0.5000 0.0000 0.0000
Ru1 0.0000 0.0000 0.5000
S1 0.5000 0.5000 0.0000
O1 0.5000 0.5000 0.5000

The following is a DFT calculation (GGA-PBE) of a relaxed Rb4Tb3GeO8 crystal.

VASP energy in eV/atom: -6.140
Formation energy from raw total energies in kJ/mol of atoms: -218.30

Lattice parameters (Å, degrees): 7.6831 7.6831 7.6831 53.87 53.87 53.87
Atoms (fractional coordinates):
Rb1 0.0000 0.0000 0.0000
Rb2 0.0000 0.5000 0.5000
Rb3 0.5000 0.0000 0.5000
Rb4 0.5000 0.5000 0.0000
Tb1 0.0000 0.0000 0.5000
Tb2 0.0000 0.5000 0.0000
Tb3 0.5000 0.0000 0.0000
Ge1 0.5000 0.5000 0.5000
O1 0.2255 0.2255 0.2255
O2 0.2351 0.7197 0.7197
O3 0.2803 0.2803 0.7649
O4 0.2803 0.7649 0.2803
O5 0.7197 0.2351 0.7197
O6 0.7197 0.7197 0.2351
O7 0.7649 0.2803 0.2803
O8 0.7745 0.7745 0.7745

The following is a DFT calculation (GGA-PBE) of a relaxed Nd3Ge2S crystal.

VASP energy in eV/atom: -5.821
Formation energy from raw total energies in kJ/mol of atoms: -116.79

Lattice parameters (Å, degrees): 9.4424 9.4424 9.4424 154.16 154.16 36.86
Atoms (fractional coordinates):
Nd1 0.0000 0.0000 0.0000
Nd2 0.3373 0.3373 0.0000
Nd3 0.6627 0.6627 0.0000
Ge1 0.1655 0.1655 0.0000
Ge2 0.8345 0.8345 0.0000
S1 0.5000 0.5000 0.0000

The following spin magnetization values (in μB per cell) correspond, in order, to the records above: 0.1 0.0 0.0 0.0.